A PBEsol-optimized structure of BaTa2Zn, computed with meta-GGA SCAN.

a b c (Å): 3.0424 5.2092 5.2888
angles (deg): 90.00 90.00 90.00
With the nearest neighbours (Å) after each atom.
Fractional positions:
Ba (0.0000, 0.5000, 0.5000)  4 Zn 3.02, 2 Ba 3.04, 4 Ta 3.05
Ta (0.0000, 0.0000, 0.0000)  6 Ta 3.02-3.04, 4 Zn 3.05
Ta (0.5000, 0.5000, 0.0000)  6 Ta 3.02-3.04, 4 Ba 3.05
Zn (0.5000, 0.0000, 0.5000)  4 Ba 3.02, 2 Zn 3.04, 4 Ta 3.05

Values from the calculation:
**E_form**: 1.008 eV per atom


A PBEsol-optimized structure of BaZr2Ta, computed with meta-GGA SCAN.

a b c (Å): 3.3347 4.6166 8.1489
angles (deg): 106.46 101.81 90.00
With the nearest neighbours (Å) after each atom.
Fractional positions:
Ba (0.5581, 0.5581, 0.1163)  2 Ba 3.33, 2 Ta 3.55, 4 Zr 3.68
Ta (0.2631, 0.7631, 0.5262)  6 Zr 2.74-2.85
Zr (0.9051, 0.9051, 0.8103)  2 Ta 2.74, 2 Zr 3.06
Zr (0.7736, 0.2736, 0.5473)  4 Ta 2.85, 2 Zr 3.06

Values from the calculation:
**Energy relative to the lowest polymorph listed for this composition**: 0.343 eV per atom
**E_form**: 0.708 eV per atom


A PBEsol-optimized structure of Ba2ZrTa, computed with meta-GGA SCAN.

a b c (Å): 3.4797 3.4797 11.8361
angles (deg): 81.55 81.55 60.00
With the nearest neighbours (Å) after each atom.
Fractional positions:
Ba (0.9884, 0.9884, 0.0347)  6 Ba 3.48, 3 Zr 3.64
Ba (0.7656, 0.7656, 0.7033)  3 Ta 3.41, 6 Ba 3.48
Ta (0.5111, 0.5111, 0.4667)  3 Zr 2.83
Zr (0.2349, 0.2349, 0.2953)  3 Ta 2.83

Values from the calculation:
**Energy relative to the lowest polymorph listed for this composition**: 0.000 eV per atom
**E_form**: 0.817 eV per atom


A PBEsol-optimized structure of BaZr2Ta, computed with meta-GGA SCAN.

a b c (Å): 3.1035 4.9637 7.1808
angles (deg): 92.92 90.00 108.22
With the nearest neighbours (Å) after each atom.
Fractional positions:
Ba (0.5000, 0.0000, 0.0000)  2 Ba 3.10, 2 Zr 3.29
Ta (0.0000, 0.0000, 0.5000)  6 Zr 2.85-2.96, 2 Ta 3.10
Zr (0.7375, 0.4750, 0.6800)  3 Ta 2.85-2.96, 4 Zr 3.03-3.10
Zr (0.2625, 0.5250, 0.3200)  3 Ta 2.85-2.96, 4 Zr 3.03-3.10

Values from the calculation:
**Energy relative to the lowest polymorph listed for this composition**: 0.222 eV per atom
**E_form**: 0.586 eV per atom


A PBEsol-optimized structure of Ba2ZrTa, computed with meta-GGA SCAN.

a b c (Å): 4.4585 4.4585 6.4843
angles (deg): 110.11 110.11 90.00
With the nearest neighbours (Å) after each atom.
Fractional positions:
Ba (0.7500, 0.2500, 0.5000)  4 Ba 3.15
Ba (0.2500, 0.7500, 0.5000)  4 Ba 3.15
Ta (0.5000, 0.5000, 0.0000)  4 Zr 3.15
Zr (0.0000, 0.0000, 0.0000)  4 Ta 3.15

Values from the calculation:
**Energy relative to the lowest polymorph listed for this composition**: 0.375 eV per atom
**E_form**: 1.193 eV per atom


A PBEsol-optimized structure of BaZr2Ta, computed with meta-GGA SCAN.

a b c (Å): 3.3436 3.3436 9.5562
angles (deg): 90.00 90.00 90.00
With the nearest neighbours (Å) after each atom.
Fractional positions:
Ba (0.5000, 0.5000, 0.0000)  4 Ba 3.34
Ta (0.5000, 0.5000, 0.5000)  8 Zr 2.89
Zr (0.0000, 0.0000, 0.6746)  4 Ta 2.89
Zr (0.0000, 0.0000, 0.3254)  4 Ta 2.89

Values from the calculation:
**Energy relative to the lowest polymorph listed for this composition**: 0.000 eV per atom
**E_form**: 0.364 eV per atom